First-principles (GGA-PBE) data for Li2Cu after structural relaxation, as listed in the Alexandria database.

Cell lengths 6.220, 6.220, 6.220 Å; angles 154.58, 154.58, 36.26 degrees
Atoms (fractional coordinates):
Cu  0.500  0.500  0.000
Li  0.150  0.150  0.000
Li  0.850  0.850  0.000

Calculated values
* crystal system: tetragonal
* magnetization: 0.0 μB per formula unit
* ΔH_f (0 K): -0.0055 eV/atom